P.
A plane-wave DFT calculation with PBE was carried out for a relaxed Hg2MoBr crystal.

## Properties
volume	29.7	A^3/atom
D(E_F)	2.65	states/eV/f.u.
size of the total moment	6.85	μB per cell
space group	I-42d

a = 7.213 Å, b = 7.213 Å, c = 7.213 Å
α = 97.64°, β = 97.64°, γ = 137.24°
Atoms (fractional coordinates):
Hg  0.031  0.125  0.406
Hg  0.375  0.969  0.094
Hg  0.719  0.625  0.594
Hg  0.875  0.281  0.906
Mo  0.000  0.000  0.000
Mo  0.750  0.250  0.500
Br  0.250  0.750  0.500
Br  0.500  0.500  0.000

Q.
A plane-wave DFT calculation with PBE was carried out for a relaxed Hg2MoBr crystal.

## Properties
volume	25.8	A^3/atom
D(E_F)	2.39	states/eV/f.u.
size of the total moment	4.81	μB per cell
space group	Fm-3m

a = 5.268 Å, b = 5.268 Å, c = 5.268 Å
α = 60.00°, β = 60.00°, γ = 60.00°
Atoms (fractional coordinates):
Hg  0.250  0.250  0.250
Hg  0.750  0.750  0.750
Mo  0.000  0.000  0.000
Br  0.500  0.500  0.500

R.
A plane-wave DFT calculation with PBE was carried out for a relaxed Hg2MoBr crystal.

## Properties
volume	26.4	A^3/atom
D(E_F)	1.48	states/eV/f.u.
size of the total moment	0.80	μB per cell
space group	Cm

a = 7.551 Å, b = 7.551 Å, c = 4.904 Å
α = 108.82°, β = 108.82°, γ = 23.55°
Atoms (fractional coordinates):
Hg  0.000  0.000  0.000
Hg  0.144  0.144  0.643
Mo  0.675  0.675  0.173
Br  0.321  0.321  0.318

R is the most stable structure; the next one sits 300 meV/atom above it.